DFT (PBE+U) results for a relaxed NpScV2O6 crystal.

Computed properties:
Its space group is R3 (146). The value obtained for the energy is -89.97 eV/cell. As for the crystal system: trigonal.

The structure in POSCAR format:
```
NpScV2O6
1.0
2.697 1.557 4.895
-2.697 1.557 4.895
0.000 -3.115 4.895
Np Sc V O
1 1 2 6
Cartesian
0.000 0.000 0.000
0.000 0.000 7.355
0.000 0.000 4.402
0.000 0.000 11.719
-1.598 -0.081 5.827
-1.039 -1.575 8.256
0.869 -1.344 5.827
-0.845 1.687 8.256
0.729 1.425 5.827
1.883 -0.112 8.256
```